No. 1
## Li5Hg2Pd2Au (GGA-PBE)

Data for an optimized crystal structure of Li5Hg2Pd2Au.

The structure belongs to space group P4/mbm (No. 127); the cell edges are 9.5551, 9.5551 and 3.6880 Å and the angles 90.00°, 90.00° and 90.00°. Symmetry generates all atoms from Li at (0.0000, 0.5000, 0.0000), Li at (0.0720, 0.1961, 0.0000), Hg at (0.1767, 0.6767, 0.5000), Pd at (0.1175, 0.3825, 0.5000) and Au at (0.0000, 0.0000, 0.5000).

The magnetic moment comes out at 0.00 μB per formula unit.


No. 2
## Li2HgPdAu (GGA-PBE)

Data for an optimized crystal structure of Li2HgPdAu.

The structure belongs to space group Pmma (No. 51); the cell edges are 5.4196, 7.0827 and 4.8587 Å and the angles 90.00°, 90.00° and 90.00°. Symmetry generates all atoms from Li at (0.2500, 0.2055, 0.2238), Hg at (0.2500, 0.0000, 0.7208), Pd at (0.2500, 0.5000, 0.5096) and Au at (0.0000, 0.5000, 0.0000).

The magnetic moment comes out at 0.00 μB per formula unit.


No. 3
## LiPm2HgAu4 (GGA-PBE)

Data for an optimized crystal structure of LiPm2HgAu4.

The structure belongs to space group R-3m (No. 166, hexagonal axes); the cell edges are 5.0557, 5.0557 and 23.8626 Å and the angles 90.00°, 90.00° and 120.00°. Symmetry generates all atoms from Li at (0.0000, 0.0000, 0.0000), Pm at (0.0000, 0.0000, 0.2442), Hg at (0.0000, 0.0000, 0.5000), Au at (0.0000, 0.0000, 0.1127) and Au at (0.0000, 0.0000, 0.3710).

The magnetic moment comes out at 0.00 μB per formula unit.


No. 4
## LiPmHgAu (GGA-PBE)

Data for an optimized crystal structure of LiPmHgAu.

The structure belongs to space group F-43m (No. 216); the cell edges are 7.1257, 7.1257 and 7.1257 Å and the angles 90.00°, 90.00° and 90.00°. Symmetry generates all atoms from Li at (0.0000, 0.0000, 0.0000), Pm at (0.0000, 0.0000, 0.5000), Hg at (0.2500, 0.2500, 0.2500) and Au at (0.2500, 0.2500, 0.7500).

The magnetic moment comes out at 0.00 μB per formula unit.


No. 5
## Li2PrHg2Au2 (GGA-PBE)

Data for an optimized crystal structure of Li2PrHg2Au2.

The structure belongs to space group R-3m (No. 166, hexagonal axes); the cell edges are 4.7372, 4.7372 and 23.0900 Å and the angles 90.00°, 90.00° and 120.00°. Symmetry generates all atoms from Li at (0.0000, 0.0000, 0.1434), Pr at (0.0000, 0.0000, 0.0000), Hg at (0.0000, 0.0000, 0.2619) and Au at (0.0000, 0.0000, 0.4375).

The magnetic moment comes out at 0.00 μB per formula unit.


No. 6
## LiPrHgAu (GGA-PBE)

Data for an optimized crystal structure of LiPrHgAu.

The structure belongs to space group F-43m (No. 216); the cell edges are 7.2085, 7.2085 and 7.2085 Å and the angles 90.00°, 90.00° and 90.00°. Symmetry generates all atoms from Li at (0.0000, 0.0000, 0.0000), Pr at (0.0000, 0.0000, 0.5000), Hg at (0.2500, 0.2500, 0.2500) and Au at (0.2500, 0.2500, 0.7500).

The magnetic moment comes out at 0.00 μB per formula unit.


| no. | DFT formation energy (eV per formula unit) |
| --- | --- |
| 1 | -3.6 |
| 2 | -1.4 |
| 3 | -5.2 |
| 4 | -2.2 |
| 5 | -2.9 |
| 6 | -2.1 |